This record from the Alexandria database describes GdHoLuPu after structural relaxation. The functional is PBE-GGA.

Calculated values
ΔE_f   184 meV per atom

Geometry as POSCAR:
```
GdHoLuPu
1.0
0.000 3.913 3.913
3.913 0.000 3.913
3.913 3.913 0.000
Gd Ho Lu Pu
1 1 1 1
Cartesian
0.000 0.000 0.000
3.913 3.913 3.913
1.957 1.957 1.957
5.870 5.870 5.870
```



This record from the Alexandria database describes GdHoLuRu after structural relaxation. The functional is PBE-GGA.

Calculated values
ΔE_f   55 meV per atom

Geometry as POSCAR:
```
GdHoLuRu
1.0
0.000 3.627 3.627
3.627 0.000 3.627
3.627 3.627 0.000
Gd Ho Lu Ru
1 1 1 1
Cartesian
0.000 0.000 0.000
3.627 3.627 3.627
5.440 5.440 5.440
1.813 1.813 1.813
```